Model 1:
# PaTcB4 (PBE, relaxed)
# M_tot	0.00	μB/f.u.
# volume	10.54	A^3/atom
data_PaTcB4
_symmetry_space_group_name_H-M 'C m m m'
_symmetry_Int_Tables_number 65
_symmetry_space_group_name_Hall '-C 2 2'
_cell_length_a 7.354
_cell_length_b 9.413
_cell_length_c 3.654
_cell_angle_alpha 90.00
_cell_angle_beta 90.00
_cell_angle_gamma 90.00
loop_
_atom_site_label
_atom_site_type_symbol
_atom_site_fract_x
_atom_site_fract_y
_atom_site_fract_z
_atom_site_occupancy
Pa1 Pa 0.000 0.200 0.000 1
Tc1 Tc 0.187 0.500 0.000 1
B1 B 0.000 0.409 0.500 1
B2 B 0.122 0.000 0.500 1
B3 B 0.222 0.342 0.500 1

---

Model 2:
# PaTcB4 (PBE, relaxed)
# M_tot	0.00	μB/f.u.
# volume	10.60	A^3/atom
data_PaTcB4
_symmetry_space_group_name_H-M 'I m m m'
_symmetry_Int_Tables_number 71
_symmetry_space_group_name_Hall '-I 2 2'
_cell_length_a 3.127
_cell_length_b 5.287
_cell_length_c 7.694
_cell_angle_alpha 90.00
_cell_angle_beta 90.00
_cell_angle_gamma 90.00
loop_
_atom_site_label
_atom_site_type_symbol
_atom_site_fract_x
_atom_site_fract_y
_atom_site_fract_z
_atom_site_occupancy
Pa1 Pa 0.000 0.000 0.000 1
Tc1 Tc 0.000 0.000 0.500 1
B1 B 0.000 0.328 0.252 1

---

Model 3:
# PaTcB4 (PBE, relaxed)
# M_tot	0.00	μB/f.u.
# volume	11.50	A^3/atom
data_PaTcB4
_symmetry_space_group_name_H-M 'F -4 3 m'
_symmetry_Int_Tables_number 216
_symmetry_space_group_name_Hall 'F -4 2 3'
_cell_length_a 6.510
_cell_length_b 6.510
_cell_length_c 6.510
_cell_angle_alpha 90.00
_cell_angle_beta 90.00
_cell_angle_gamma 90.00
loop_
_atom_site_label
_atom_site_type_symbol
_atom_site_fract_x
_atom_site_fract_y
_atom_site_fract_z
_atom_site_occupancy
Pa1 Pa 0.000 0.000 0.000 1
Tc1 Tc 0.250 0.250 0.750 1
B1 B 0.096 0.096 0.404 1

---

The least stable of them is model 3.

---

Model 1:
# PaB4W (PBE, relaxed)
# M_tot	0.00	μB/f.u.
# volume	10.82	A^3/atom
data_PaB4W
_symmetry_space_group_name_H-M 'C m m m'
_symmetry_Int_Tables_number 65
_symmetry_space_group_name_Hall '-C 2 2'
_cell_length_a 7.407
_cell_length_b 9.466
_cell_length_c 3.702
_cell_angle_alpha 90.00
_cell_angle_beta 90.00
_cell_angle_gamma 90.00
loop_
_atom_site_label
_atom_site_type_symbol
_atom_site_fract_x
_atom_site_fract_y
_atom_site_fract_z
_atom_site_occupancy
Pa1 Pa 0.000 0.198 0.000 1
B1 B 0.000 0.408 0.500 1
B2 B 0.121 0.000 0.500 1
B3 B 0.222 0.341 0.500 1
W1 W 0.180 0.500 0.000 1

---

Model 2:
# PaB4W (PBE, relaxed)
# M_tot	0.00	μB/f.u.
# volume	11.74	A^3/atom
data_PaB4W
_symmetry_space_group_name_H-M 'F -4 3 m'
_symmetry_Int_Tables_number 216
_symmetry_space_group_name_Hall 'F -4 2 3'
_cell_length_a 6.555
_cell_length_b 6.555
_cell_length_c 6.555
_cell_angle_alpha 90.00
_cell_angle_beta 90.00
_cell_angle_gamma 90.00
loop_
_atom_site_label
_atom_site_type_symbol
_atom_site_fract_x
_atom_site_fract_y
_atom_site_fract_z
_atom_site_occupancy
Pa1 Pa 0.000 0.000 0.000 1
B1 B 0.097 0.097 0.403 1
W1 W 0.250 0.250 0.750 1

---

Model 3:
# PaB4W (PBE, relaxed)
# M_tot	0.00	μB/f.u.
# volume	10.62	A^3/atom
data_PaB4W
_symmetry_space_group_name_H-M 'I m m m'
_symmetry_Int_Tables_number 71
_symmetry_space_group_name_Hall '-I 2 2'
_cell_length_a 3.149
_cell_length_b 5.416
_cell_length_c 7.474
_cell_angle_alpha 90.00
_cell_angle_beta 90.00
_cell_angle_gamma 90.00
loop_
_atom_site_label
_atom_site_type_symbol
_atom_site_fract_x
_atom_site_fract_y
_atom_site_fract_z
_atom_site_occupancy
Pa1 Pa 0.000 0.000 0.000 1
B1 B 0.000 0.333 0.246 1
W1 W 0.000 0.000 0.500 1

---

The least stable of them is model 2.

---

Model 1:
# YPaB4 (PBE, relaxed)
# M_tot	0.00	μB/f.u.
# volume	12.91	A^3/atom
data_YPaB4
_symmetry_space_group_name_H-M 'F -4 3 m'
_symmetry_Int_Tables_number 216
_symmetry_space_group_name_Hall 'F -4 2 3'
_cell_length_a 6.767
_cell_length_b 6.767
_cell_length_c 6.767
_cell_angle_alpha 90.00
_cell_angle_beta 90.00
_cell_angle_gamma 90.00
loop_
_atom_site_label
_atom_site_type_symbol
_atom_site_fract_x
_atom_site_fract_y
_atom_site_fract_z
_atom_site_occupancy
Y1 Y 0.000 0.000 0.000 1
Pa1 Pa 0.250 0.250 0.250 1
B1 B 0.092 0.092 0.592 1

---

Model 2:
# YPaB4 (PBE, relaxed)
# M_tot	0.00	μB/f.u.
# volume	12.55	A^3/atom
data_YPaB4
_symmetry_space_group_name_H-M 'I -4 m 2'
_symmetry_Int_Tables_number 119
_symmetry_space_group_name_Hall 'I -4 -2'
_cell_length_a 3.618
_cell_length_b 3.618
_cell_length_c 11.503
_cell_angle_alpha 90.00
_cell_angle_beta 90.00
_cell_angle_gamma 90.00
loop_
_atom_site_label
_atom_site_type_symbol
_atom_site_fract_x
_atom_site_fract_y
_atom_site_fract_z
_atom_site_occupancy
Y1 Y 0.000 0.000 0.000 1
Pa1 Pa 0.000 0.500 0.250 1
B1 B 0.000 0.000 0.421 1
B2 B 0.000 0.500 0.671 1

---

The least stable of them is model 1.